# MnIN2O (PBE+U, relaxed)
data_MnIN2O
_cell_length_a 3.511
_cell_length_b 3.511
_cell_length_c 5.672
_cell_angle_alpha 90.00
_cell_angle_beta 90.00
_cell_angle_gamma 90.00
_space_group_name_H-M_alt 'P 4/m m m'
_space_group_IT_number 123
_space_group_name_Hall '-P 4 2'
loop_
_atom_site_label
_atom_site_fract_x
_atom_site_fract_y
_atom_site_fract_z
Mn1 0.000 0.000 0.000
I1 0.000 0.000 0.500
N1 0.000 0.500 0.000
O1 0.500 0.500 0.500
# Raw total energy: -0.175 hartree per atom
# Crystal system: tetragonal